A relaxed structure of Cs3POs. Source: Alexandria via LeMat-Bulk, functional PBE.

Properties
The calculated total energy comes out at -2.553 eV per atom. The density of states at the Fermi level comes out at 5.88 states/eV per cell. As for the magnetic moment: 1.81 μB/cell.

Geometry as extended XYZ:
```
5
Lattice="-4.4717 -3.7548 0.8376 2.4505 -3.7701 -3.8180 2.9656 -2.5463 4.4178" Properties=species:S:1:pos:R:3 pbc="T T T"
Os 0.0000 0.0000 0.0000
Cs 1.2253 -1.8851 -1.9090
Cs -2.2359 -1.8774 0.4188
Cs 1.4828 -1.2732 2.2089
P 0.4722 -5.0356 0.7187
```

---

A relaxed structure of La3HoZn8. Source: Alexandria via LeMat-Bulk, functional PBE.

Properties
The calculated total energy comes out at -2.787 eV per atom. The density of states at the Fermi level comes out at 4.94 states/eV per cell. As for the magnetic moment: 0.00 μB/cell.

Geometry as extended XYZ:
```
12
Lattice="-4.4070 0.5273 -3.4378 -5.2003 -0.7954 1.9603 -3.7707 8.7714 1.5951" Properties=species:S:1:pos:R:3 pbc="T T T"
La -3.7686 8.7381 1.5873
La -6.6914 4.2887 0.0675
La -6.9036 7.5967 0.8469
Zn -11.5753 5.7366 -0.2954
Zn -7.5069 1.1804 0.6361
Zn -9.4010 5.4764 1.4008
Zn -7.1129 1.8374 -2.0452
Zn -4.9239 1.5754 -0.3376
Zn -9.0096 6.1290 -1.2626
Zn -10.1395 8.0285 0.4772
Zn -3.4510 3.7860 0.4205
Ho -9.8185 3.0243 -0.7019
```

---

A relaxed structure of BeNbOF2. Source: Alexandria via LeMat-Bulk, functional PBE.

Properties
As for the formation energy without anion corrections: -1.319 eV/atom. The calculated total energy comes out at -5.818 eV per atom. The density of states at the Fermi level comes out at 2.21 states/eV per cell. As for the magnetic moment: 1.00 μB/cell.

Geometry as extended XYZ:
```
5
Lattice="-0.7148 4.2219 0.4208 -0.8216 -0.5564 4.1866 3.8100 0.5631 0.8225" Properties=species:S:1:pos:R:3 pbc="T T T"
O 1.9050 0.2816 0.4112
Be 1.1368 2.1143 2.7149
Nb 0.0000 0.0000 0.0000
F -0.4108 -0.2782 2.0933
F -0.3574 2.1109 0.2104
```

---

A relaxed structure of Rb2SmSb2S6. Source: Alexandria via LeMat-Bulk, functional PBE.

Properties
As for the formation energy without anion corrections: -0.854 eV/atom. The calculated total energy comes out at -4.460 eV per atom. The density of states at the Fermi level comes out at 4.19 states/eV per cell. As for the magnetic moment: 0.00 μB/cell.

Geometry as extended XYZ:
```
11
Lattice="-1.4289 4.7201 -5.6429 -3.7868 -6.0364 0.8862 -2.2176 6.2218 5.7658" Properties=species:S:1:pos:R:3 pbc="T T T"
S -3.2734 7.9170 0.0752
S -2.5844 5.6411 2.7960
S -4.8489 -0.7357 -1.7870
S -4.1600 -3.0116 0.9338
S -4.1509 4.1054 -0.4913
S -3.2824 0.8000 1.5003
Rb -2.8621 1.9305 -2.6369
Rb -4.5712 2.9749 3.6459
Sb -6.4860 4.0410 0.0460
Sb -0.9473 0.8645 0.9630
Sm -1.8232 5.4709 0.0614
```

---

A relaxed structure of ZrAu2Br. Source: Alexandria via LeMat-Bulk, functional PBE.

Properties
As for the formation energy without anion corrections: -0.275 eV/atom. The calculated total energy comes out at -4.469 eV per atom. The density of states at the Fermi level comes out at 2.07 states/eV per cell. As for the magnetic moment: 0.00 μB/cell.

Geometry as extended XYZ:
```
4
Lattice="-6.0580 -4.6667 2.7821 -4.8379 -6.5399 -0.2035 -3.0723 -6.8842 3.0637" Properties=species:S:1:pos:R:3 pbc="T T T"
Br -3.4920 -4.5227 1.4106
Au -0.1082 -0.1401 0.0437
Au -6.8759 -8.9053 2.7775
Zr -10.4761 -13.5681 4.2318
```

---

A relaxed structure of AsHBr2F. Source: Alexandria via LeMat-Bulk, functional PBE.

Properties
The calculated total energy comes out at -2.199 eV per atom. The density of states at the Fermi level comes out at 4.19 states/eV per cell. As for the magnetic moment: 0.78 μB/cell.

Geometry as extended XYZ:
```
5
Lattice="-4.0258 -3.6429 1.5846 2.0164 -3.8176 -3.6536 2.3509 -1.3982 2.7585" Properties=species:S:1:pos:R:3 pbc="T T T"
F 0.0000 0.0000 0.0000
Br 1.0082 -1.9088 -1.8268
Br -2.0129 -1.8214 0.7923
H 0.1708 -4.4293 0.3447
As 1.1755 -0.6991 1.3792
```

---

A relaxed structure of PmPr4Er2Sc. Source: Alexandria via LeMat-Bulk, functional PBE.

Properties
The calculated total energy comes out at -4.816 eV per atom. The density of states at the Fermi level comes out at 13.77 states/eV per cell. As for the magnetic moment: 0.00 μB/cell.

Geometry as extended XYZ:
```
8
Lattice="5.9146 0.0000 0.0000 0.0001 9.5823 -0.0133 0.0000 3.6523 4.6499" Properties=species:S:1:pos:R:3 pbc="T T T"
Er 0.0000 3.6523 4.6498
Er 2.9573 1.8262 2.3249
Pr 5.9146 3.3327 1.1437
Pr 2.9574 5.1593 3.4644
Pr 2.9574 8.0753 1.1722
Pr 0.0001 9.9018 3.4928
Sc 0.0001 6.6172 2.3183
Pm 2.9573 4.7912 -0.0066
```

---

A relaxed structure of CdAsHSe2. Source: Alexandria via LeMat-Bulk, functional PBE.

Properties
The calculated total energy comes out at -2.793 eV per atom. The density of states at the Fermi level comes out at 3.31 states/eV per cell. As for the magnetic moment: 0.00 μB/cell.

Geometry as extended XYZ:
```
5
Lattice="-2.7446 0.6222 -4.3552 -4.1893 -1.9371 2.3633 -0.8789 3.1203 0.9996" Properties=species:S:1:pos:R:3 pbc="T T T"
Se -2.0946 -0.9686 1.1816
Se -1.3723 0.3111 -2.1776
H 0.0000 0.0000 0.0000
As -0.4395 1.5601 0.4998
Cd -3.9064 0.9026 -0.4962
```

---

A relaxed structure of AcEu3F. Source: Alexandria via LeMat-Bulk, functional PBE.

Properties
As for the formation energy without anion corrections: -0.982 eV/atom. The calculated total energy comes out at -8.342 eV per atom. The density of states at the Fermi level comes out at 3.76 states/eV per cell. As for the magnetic moment: 22.78 μB/cell.

Geometry as extended XYZ:
```
5
Lattice="-3.0068 -4.0263 -2.2732 -1.8387 -1.4468 4.9946 -4.2424 3.4807 -0.5535" Properties=species:S:1:pos:R:3 pbc="T T T"
Eu -1.5034 -2.0131 -1.1366
Eu -0.9194 -0.7234 2.4973
Eu -2.1212 1.7404 -0.2768
Ac -4.5440 -0.9961 1.0839
F 0.0000 0.0000 0.0000
```

---

A relaxed structure of CeEr2Hf. Source: Alexandria via LeMat-Bulk, functional PBE.

Properties
The calculated total energy comes out at -6.124 eV per atom. The density of states at the Fermi level comes out at 8.14 states/eV per cell. As for the magnetic moment: 0.96 μB/cell.

Geometry as extended XYZ:
```
4
Lattice="3.3686 0.0000 0.0000 1.6843 2.9173 0.0000 1.6843 0.9724 11.2331" Properties=species:S:1:pos:R:3 pbc="T T T"
Er 1.6843 0.9724 2.6260
Er 1.6843 0.9724 8.6152
Hf 3.3686 1.9448 0.0101
Ce 3.3686 1.9448 5.5982
```

---

A relaxed structure of PuTh2Si. Source: Alexandria via LeMat-Bulk, functional PBE.

Properties
As for the formation energy without anion corrections: 0.240 eV/atom. The calculated total energy comes out at -8.408 eV per atom. The density of states at the Fermi level comes out at 10.40 states/eV per cell. As for the magnetic moment: 5.86 μB/cell.

Geometry as extended XYZ:
```
4
Lattice="3.4168 0.0000 0.0000 1.7084 2.9590 0.0000 1.7084 0.9863 11.0118" Properties=species:S:1:pos:R:3 pbc="T T T"
Th 5.1252 2.9590 3.1871
Th 1.7084 0.9863 7.8247
Si 3.4168 1.9727 5.5059
Pu 0.0000 0.0000 0.0000
```

---

A relaxed structure of LaCeGe4Pt4. Source: Alexandria via LeMat-Bulk, functional PBE.

Properties
The calculated total energy comes out at -6.292 eV per atom. The density of states at the Fermi level comes out at 9.38 states/eV per cell. As for the magnetic moment: 0.81 μB/cell.

Geometry as extended XYZ:
```
10
Lattice="4.4205 0.0000 0.0000 0.0000 4.4202 -0.0075 0.0000 0.0094 10.0098" Properties=species:S:1:pos:R:3 pbc="T T T"
Pt 2.2103 3.3041 3.7450
Pt 2.2103 1.0812 0.0313
Pt 0.0000 1.0979 6.2227
Pt 0.0000 3.3106 0.0293
Ge 0.0000 3.3059 4.9745
Ge 0.0000 1.1060 8.7170
Ge 2.2103 1.0958 4.9787
Ge 2.2103 3.2937 1.2904
La 2.2103 3.3095 7.4939
Ce 0.0000 1.0922 2.5187
```